No. 1
Compound: ScVCr
Source: Alexandria
Functional: PBE
Structure: optimized geometry

a = 5.650 Å, b = 4.266 Å, c = 9.353 Å
α = 90.00°, β = 123.45°, γ = 90.00°
Fractional positions:
Cr: 0.362 0.000 0.637
Cr: 0.208 0.000 0.341
Cr: 0.362 0.500 0.137
Cr: 0.208 0.500 0.841
V: 0.605 0.000 0.264
V: 0.437 0.000 0.929
V: 0.437 0.500 0.429
V: 0.605 0.500 0.764
Sc: 0.999 0.500 0.481
Sc: 0.825 0.500 0.130
Sc: 0.999 0.000 0.981
Sc: 0.825 0.000 0.630

V, Å³ per cell: 188
Energy, eV/atom: -8.138
Relative energy among the computed polymorphs, eV per atom: 0.082
DFT formation energy, eV/atom: 0.220

***

No. 2
Compound: Sc3VCr
Source: Alexandria
Functional: PBE
Structure: optimized geometry

a = 4.844 Å, b = 4.844 Å, c = 4.844 Å
α = 90.00°, β = 90.00°, γ = 90.00°
Fractional positions:
V: 0.500 0.500 0.500
Cr: 0.000 0.000 0.000
Sc: 0.000 0.500 0.000
Sc: 0.500 0.000 0.000
Sc: 0.000 0.000 0.500

V, Å³ per cell: 114
Energy, eV/atom: -6.824
Relative energy among the computed polymorphs, eV per atom: 0.000
DFT formation energy, eV/atom: 0.724

***

No. 3
Compound: ScV2Cr
Source: Alexandria
Functional: PBE
Structure: optimized geometry

a = 4.157 Å, b = 4.157 Å, c = 4.746 Å
α = 64.03°, β = 64.03°, γ = 60.00°
Fractional positions:
V: 0.773 0.773 0.682
V: 0.227 0.227 0.318
Sc: 0.000 0.000 0.000
Cr: 0.500 0.500 0.500

V, Å³ per cell: 61
Energy, eV/atom: -8.269
Relative energy among the computed polymorphs, eV per atom: 0.000
DFT formation energy, eV/atom: 0.279

***

No. 4
Compound: ScV2Cr2
Source: Alexandria
Functional: PBE
Structure: optimized geometry

a = 7.144 Å, b = 7.144 Å, c = 2.965 Å
α = 90.00°, β = 90.00°, γ = 90.00°
Fractional positions:
Sc: 0.500 0.500 0.000
Sc: 0.000 0.000 0.000
V: 0.855 0.355 0.500
V: 0.145 0.645 0.500
V: 0.355 0.145 0.500
V: 0.645 0.855 0.500
Cr: 0.138 0.362 0.000
Cr: 0.362 0.862 0.000
Cr: 0.638 0.138 0.000
Cr: 0.862 0.638 0.000

V, Å³ per cell: 151
Energy, eV/atom: -8.494
DFT formation energy, eV/atom: 0.270